Below is SrCr2Hg after structural relaxation, with properties calculated at the PBE-GGA level.

Properties
The formation energy is 0.3381 eV/atom. The spin magnetization comes out at 0.27 μB/f.u. Its crystal system is orthorhombic. As for the uncorrected energy: -4.97 eV per atom. The density comes out at 7.55 g cm⁻³.

a = 3.3087 Å, b = 3.3239 Å, c = 7.8446 Å
α = 90.00°, β = 90.00°, γ = 90.00°
Atoms (fractional coordinates):
Sr 0.0000 0.0000 0.0000
Cr 0.0000 0.0000 0.4415
Cr 0.5000 0.5000 0.3206
Hg 0.5000 0.5000 0.6870

Below is RbSn2 after structural relaxation, with properties calculated at the PBE-GGA level.

Properties
The formation energy is -0.1813 eV/atom. The spin magnetization comes out at 0.00 μB/f.u. Its crystal system is orthorhombic. As for the uncorrected energy: -3.17 eV per atom. The density comes out at 4.99 g cm⁻³.

a = 7.0018 Å, b = 7.0018 Å, c = 7.0018 Å
α = 137.34°, β = 104.39°, γ = 90.92°
Atoms (fractional coordinates):
Rb 0.3246 0.0746 0.2500
Rb 0.6754 0.9254 0.7500
Sn 0.0850 0.6606 0.4244
Sn 0.2638 0.3394 0.9244
Sn 0.7362 0.6606 0.0756
Sn 0.9150 0.3394 0.5756

Below is CsGaAg2Pt after structural relaxation, with properties calculated at the PBE-GGA level.

Properties
The formation energy is 1.7553 eV/atom. The spin magnetization comes out at 0.00 μB/f.u. Its crystal system is tetragonal. As for the uncorrected energy: -1.37 eV per atom. The density comes out at 5.27 g cm⁻³.

a = 5.6805 Å, b = 5.6805 Å, c = 5.9950 Å
α = 90.00°, β = 90.00°, γ = 90.00°
Atoms (fractional coordinates):
Cs 0.0000 0.0000 0.0000
Ga 0.0000 0.0000 0.5000
Ag 0.0000 0.5000 0.0000
Ag 0.5000 0.0000 0.0000
Pt 0.5000 0.5000 0.5000

Below is CaSm2Dy3Te6 after structural relaxation, with properties calculated at the PBE-GGA level.

Properties
The spin magnetization comes out at 0.00 μB/f.u. Its crystal system is monoclinic. As for the uncorrected energy: -5.05 eV per atom. The formation energy without anion corrections comes out at -16.518 eV per formula unit. The density comes out at 7.28 g cm⁻³.

a = 9.8690 Å, b = 9.8690 Å, c = 8.8388 Å
α = 103.21°, β = 103.21°, γ = 25.74°
Atoms (fractional coordinates):
Ca 0.0000 0.0000 0.0000
Sm 0.3275 0.3275 0.6558
Sm 0.6725 0.6725 0.3442
Dy 0.0000 0.0000 0.5000
Dy 0.3312 0.3312 0.1728
Dy 0.6688 0.6688 0.8272
Te 0.1622 0.1622 0.5867
Te 0.1666 0.1666 0.0777
Te 0.4997 0.4997 0.2520
Te 0.5003 0.5003 0.7480
Te 0.8334 0.8334 0.9223
Te 0.8378 0.8378 0.4133

Below is Pm2HoTl3 after structural relaxation, with properties calculated at the PBE-GGA level.

Properties
The formation energy is -0.2359 eV/atom. The spin magnetization comes out at 0.00 μB/f.u. Its crystal system is orthorhombic. As for the uncorrected energy: -3.77 eV per atom. The density comes out at 9.67 g cm⁻³.

a = 14.6436 Å, b = 14.6436 Å, c = 6.7515 Å
α = 90.00°, β = 90.00°, γ = 165.32°
Atoms (fractional coordinates):
Pm 0.0054 0.9946 0.7500
Pm 0.1537 0.8463 0.2500
Pm 0.8463 0.1537 0.7500
Pm 0.9946 0.0054 0.2500
Ho 0.3321 0.6679 0.2500
Ho 0.6679 0.3321 0.7500
Tl 0.2542 0.7458 0.7500
Tl 0.4224 0.5776 0.5092
Tl 0.4224 0.5776 0.9908
Tl 0.5776 0.4224 0.0092
Tl 0.5776 0.4224 0.4908
Tl 0.7458 0.2542 0.2500

Below is LiCa2GeO after structural relaxation, with properties calculated at the PBE-GGA level.

Properties
The spin magnetization comes out at 0.00 μB/f.u. Its crystal system is tetragonal. As for the uncorrected energy: -4.52 eV per atom. The formation energy without anion corrections comes out at -7.092 eV per formula unit. The density comes out at 3.13 g cm⁻³.

a = 4.9273 Å, b = 4.9273 Å, c = 3.8401 Å
α = 90.00°, β = 90.00°, γ = 90.00°
Atoms (fractional coordinates):
Li 0.0000 0.0000 0.0000
Ca 0.0000 0.5000 0.5000
Ca 0.5000 0.0000 0.5000
Ge 0.5000 0.5000 0.0000
O 0.0000 0.0000 0.5000

Below is Tb4Pm6Tm after structural relaxation, with properties calculated at the PBE-GGA level.

Properties
The formation energy is 0.2963 eV/atom. The spin magnetization comes out at 0.00 μB/f.u. Its crystal system is tetragonal. As for the uncorrected energy: -4.39 eV per atom. The density comes out at 7.33 g cm⁻³.

a = 9.7555 Å, b = 9.7555 Å, c = 9.7555 Å
α = 140.04°, β = 140.04°, γ = 57.79°
Atoms (fractional coordinates):
Tb 0.1957 0.1957 0.6431
Tb 0.4474 0.8043 0.0000
Tb 0.5526 0.5526 0.3569
Tb 0.8043 0.4474 0.0000
Pm 0.0000 0.5000 0.5000
Pm 0.0128 0.6348 0.0000
Pm 0.3652 0.3652 0.3780
Pm 0.5000 0.0000 0.5000
Pm 0.6348 0.0128 0.0000
Pm 0.9872 0.9872 0.6220
Tm 0.0000 0.0000 0.0000

Below is Rb3SnC after structural relaxation, with properties calculated at the PBE-GGA level.

Properties
The formation energy is 0.9784 eV/atom. The spin magnetization comes out at 2.69 μB/f.u. Its crystal system is cubic. As for the uncorrected energy: -2.25 eV per atom. The density comes out at 2.84 g cm⁻³.

a = 6.0915 Å, b = 6.0915 Å, c = 6.0915 Å
α = 90.00°, β = 90.00°, γ = 90.00°
Atoms (fractional coordinates):
Rb 0.0000 0.0000 0.5000
Rb 0.0000 0.5000 0.0000
Rb 0.5000 0.0000 0.0000
Sn 0.5000 0.5000 0.5000
C 0.0000 0.0000 0.0000

Below is K4Rb3AgBr8 after structural relaxation, with properties calculated at the PBE-GGA level.

Properties
The spin magnetization comes out at 0.00 μB/f.u. Its crystal system is monoclinic. As for the uncorrected energy: -3.01 eV per atom. The formation energy without anion corrections comes out at -24.613 eV per formula unit. The density comes out at 3.15 g cm⁻³.

a = 9.5497 Å, b = 9.5497 Å, c = 9.4175 Å
α = 119.29°, β = 119.29°, γ = 59.53°
Atoms (fractional coordinates):
K 0.0000 0.0000 0.0000
K 0.0000 0.5000 0.0000
K 0.5000 0.0000 0.0000
K 0.5000 0.5000 0.0000
Rb 0.0000 0.0000 0.5000
Rb 0.0000 0.5000 0.5000
Rb 0.5000 0.0000 0.5000
Ag 0.5000 0.5000 0.5000
Br 0.2334 0.2334 0.2250
Br 0.2540 0.2540 0.7626
Br 0.2787 0.7142 0.2714
Br 0.2858 0.7213 0.7286
Br 0.7142 0.2787 0.2714
Br 0.7213 0.2858 0.7286
Br 0.7460 0.7460 0.2374
Br 0.7666 0.7666 0.7750

Below is Pa6MnSe12 after structural relaxation, with properties calculated at the PBE-GGA level.

Properties
The spin magnetization comes out at 13.12 μB/f.u. Its crystal system is trigonal. As for the uncorrected energy: -6.88 eV per atom. The formation energy without anion corrections comes out at -22.670 eV per formula unit. The density comes out at 7.66 g cm⁻³.

a = 8.1865 Å, b = 8.1865 Å, c = 8.1865 Å
α = 100.43°, β = 100.43°, γ = 100.43°
Atoms (fractional coordinates):
Pa 0.1307 0.6304 0.8008
Pa 0.1992 0.8693 0.3696
Pa 0.3696 0.1992 0.8693
Pa 0.6304 0.8008 0.1307
Pa 0.8008 0.1307 0.6304
Pa 0.8693 0.3696 0.1992
Mn 0.5000 0.5000 0.5000
Se 0.0656 0.9242 0.6772
Se 0.0758 0.3228 0.9344
Se 0.1850 0.5364 0.4374
Se 0.3228 0.9344 0.0758
Se 0.4374 0.1850 0.5364
Se 0.4636 0.5626 0.8150
Se 0.5364 0.4374 0.1850
Se 0.5626 0.8150 0.4636
Se 0.6772 0.0656 0.9242
Se 0.8150 0.4636 0.5626
Se 0.9242 0.6772 0.0656
Se 0.9344 0.0758 0.3228

Below is Mg8HgAu2 after structural relaxation, with properties calculated at the PBE-GGA level.

Properties
The formation energy is -0.3245 eV/atom. The spin magnetization comes out at 0.00 μB/f.u. Its crystal system is orthorhombic. As for the uncorrected energy: -2.11 eV per atom. The density comes out at 5.82 g cm⁻³.

a = 7.9982 Å, b = 7.9982 Å, c = 7.9982 Å
α = 147.06°, β = 125.00°, γ = 65.62°
Atoms (fractional coordinates):
Mg 0.1186 0.3393 0.7792
Mg 0.1551 0.1551 0.0000
Mg 0.3022 0.0000 0.3022
Mg 0.4399 0.6607 0.7792
Mg 0.5601 0.3393 0.2208
Mg 0.6978 0.0000 0.6978
Mg 0.8449 0.8449 0.0000
Mg 0.8814 0.6607 0.2208
Hg 0.0000 0.5000 0.5000
Au 0.3144 0.8144 0.5000
Au 0.6856 0.1856 0.5000

Below is LaPrNCl after structural relaxation, with properties calculated at the PBE-GGA level.

Properties
The spin magnetization comes out at 0.00 μB/f.u. Its crystal system is trigonal. As for the uncorrected energy: -6.51 eV per atom. The formation energy without anion corrections comes out at -6.172 eV per formula unit. The density comes out at 6.24 g cm⁻³.

a = 7.5945 Å, b = 7.5945 Å, c = 7.5945 Å
α = 28.41°, β = 28.41°, γ = 28.41°
Atoms (fractional coordinates):
La 0.0000 0.0000 0.0000
Pr 0.7919 0.7919 0.7919
N 0.3960 0.3960 0.3960
Cl 0.2261 0.2261 0.2261

Below is TbPuCd4 after structural relaxation, with properties calculated at the PBE-GGA level.

Properties
The formation energy is 0.0128 eV/atom. The spin magnetization comes out at 6.46 μB/f.u. Its crystal system is tetragonal. As for the uncorrected energy: -3.76 eV per atom. The density comes out at 8.63 g cm⁻³.

a = 9.7123 Å, b = 9.7123 Å, c = 9.7123 Å
α = 154.94°, β = 154.94°, γ = 35.73°
Atoms (fractional coordinates):
Tb 0.0000 0.0000 0.0000
Pu 0.2500 0.7500 0.5000
Cd 0.4236 0.4236 0.0000
Cd 0.5764 0.5764 0.0000
Cd 0.6718 0.1718 0.5000
Cd 0.8282 0.3282 0.5000